Record 1
A plane-wave DFT calculation with PBE was carried out for ScCu3Te after structural relaxation.

Results
Energy relative to the elements, uncorrected (eV per atom): 0.656
Uncorrected energy (eV/cell): -18.480
Space group: Pm-3m (221)

Structure (CIF):
```
data_ScCu3Te
_symmetry_space_group_name_H-M 'P 1'
_symmetry_Int_Tables_number 1
_cell_length_a 4.830
_cell_length_b 4.830
_cell_length_c 4.830
_cell_angle_alpha 90.00
_cell_angle_beta 90.00
_cell_angle_gamma 90.00
loop_
_symmetry_equiv_pos_as_xyz
'x,y,z'
loop_
_atom_site_label
_atom_site_fract_x
_atom_site_fract_y
_atom_site_fract_z
_atom_site_occupancy
Sc1 0.500 0.500 0.500 1
Te1 0.000 0.000 0.000 1
Cu1 0.000 0.500 0.000 1
Cu2 0.000 0.000 0.500 1
Cu3 0.500 0.000 0.000 1
```

=====

Record 2
A plane-wave DFT calculation with PBE was carried out for ScCu2Te after structural relaxation.

Results
Energy relative to the elements, uncorrected (eV per atom): -0.261
Uncorrected energy (eV/cell): -18.711
Space group: P4/mmm (123)

Structure (CIF):
```
data_ScCu2Te
_symmetry_space_group_name_H-M 'P 1'
_symmetry_Int_Tables_number 1
_cell_length_a 4.050
_cell_length_b 4.044
_cell_length_c 4.302
_cell_angle_alpha 90.00
_cell_angle_beta 90.00
_cell_angle_gamma 90.00
loop_
_symmetry_equiv_pos_as_xyz
'x,y,z'
loop_
_atom_site_label
_atom_site_fract_x
_atom_site_fract_y
_atom_site_fract_z
_atom_site_occupancy
Cu1 0.000 0.000 0.000 1
Cu2 0.500 0.500 0.000 1
Sc1 0.500 0.000 0.500 1
Te1 0.000 0.500 0.500 1
```

=====

Record 3
A plane-wave DFT calculation with PBE was carried out for ScTlCuTe2 after structural relaxation.

Results
Energy relative to the elements, uncorrected (eV per atom): -0.441
Uncorrected energy (eV/cell): -42.564
Space group: P2/c (13)

Structure (CIF):
```
data_ScTlCuTe2
_symmetry_space_group_name_H-M 'P 1'
_symmetry_Int_Tables_number 1
_cell_length_a 4.575
_cell_length_b 8.700
_cell_length_c 7.702
_cell_angle_alpha 98.21
_cell_angle_beta 90.00
_cell_angle_gamma 90.00
loop_
_symmetry_equiv_pos_as_xyz
'x,y,z'
loop_
_atom_site_label
_atom_site_fract_x
_atom_site_fract_y
_atom_site_fract_z
_atom_site_occupancy
Sc1 0.502 0.000 0.250 1
Sc2 0.498 0.000 0.750 1
Tl1 0.170 0.500 0.750 1
Tl2 0.830 0.500 0.250 1
Cu1 0.000 0.000 0.000 1
Cu2 0.000 0.000 0.500 1
Te1 0.677 0.766 0.961 1
Te2 0.677 0.234 0.539 1
Te3 0.323 0.766 0.461 1
Te4 0.323 0.234 0.039 1
```

=====

Record 4
A plane-wave DFT calculation with PBE was carried out for Sc3Tl3CuTe8 after structural relaxation.

Results
Energy relative to the elements, uncorrected (eV per atom): -0.660
Uncorrected energy (eV/cell): -65.229
Space group: C2/m (12)

Structure (CIF):
```
data_Sc3Tl3CuTe8
_symmetry_space_group_name_H-M 'P 1'
_symmetry_Int_Tables_number 1
_cell_length_a 8.315
_cell_length_b 8.315
_cell_length_c 9.540
_cell_angle_alpha 115.83
_cell_angle_beta 90.00
_cell_angle_gamma 120.00
loop_
_symmetry_equiv_pos_as_xyz
'x,y,z'
loop_
_atom_site_label
_atom_site_fract_x
_atom_site_fract_y
_atom_site_fract_z
_atom_site_occupancy
Sc1 0.500 0.000 0.500 1
Sc2 0.500 0.500 0.500 1
Sc3 0.000 0.500 0.500 1
Tl1 0.000 0.000 0.000 1
Tl2 0.000 0.500 0.000 1
Tl3 0.500 0.500 0.000 1
Cu1 0.000 0.000 0.500 1
Te1 0.265 0.530 0.295 1
Te2 0.735 0.470 0.705 1
Te3 0.775 0.551 0.307 1
Te4 0.225 0.449 0.693 1
Te5 0.774 0.033 0.306 1
Te6 0.226 0.967 0.694 1
Te7 0.259 0.033 0.306 1
Te8 0.741 0.967 0.694 1
```